(1)
This record from Alexandria describes a relaxed RbCoCl2 crystal. The functional is GGA-PBE.

POSCAR file:
```
RbCoCl2
1.0
-4.108 6.504 0.374
-4.426 3.891 4.958
-0.094 6.693 3.809
Co Rb Cl
1 1 2
direct
0.000 0.000 0.000 Co
0.500 0.500 0.500 Rb
0.899 0.899 0.899 Cl
0.101 0.101 0.101 Cl
```

DOS at the Fermi energy, states/eV per cell: 0.00
Electronic total energy, eV/cell: -15.1

---

(2)
This record from Alexandria describes a relaxed RbCoCl2 crystal. The functional is GGA-PBE.

POSCAR file:
```
RbCoCl2
1.0
7.397 0.000 0.000
0.000 7.397 0.000
3.698 3.698 3.781
Co Rb Cl
2 2 4
direct
0.500 0.500 0.000 Co
0.250 0.750 0.500 Co
0.000 0.000 0.000 Rb
0.750 0.250 0.500 Rb
0.512 0.125 0.250 Cl
0.238 0.625 0.250 Cl
0.375 0.488 0.750 Cl
0.875 0.762 0.750 Cl
```

DOS at the Fermi energy, states/eV per cell: 1.60
Electronic total energy, eV/cell: -30.4

---

| no. | V (A^3/atom) | raw formation energy (eV per atom) | energy above the lowest structure with this stoichiometry (meV/atom) |
| --- | --- | --- | --- |
| 1 | 42.8 | -0.831 | 30.2 |
| 2 | 25.9 | -0.862 | 0.0 |